Density functional theory data (PBEsol) for an optimized crystal structure of CsCd2As2.

Cell lengths 4.503, 4.503, 7.445 Å; angles 107.60, 107.60, 90.00 degrees
Element x y z (fractional)
Cs  0.000  0.000  0.000
As  0.367  0.367  0.734
As  0.633  0.633  0.266
Cd  0.250  0.750  0.500
Cd  0.750  0.250  0.500

## Properties
For the final energy, the calculation gives -2.963 eV per atom.



Density functional theory data (PBEsol) for an optimized crystal structure of KLaMo4.

Cell lengths 5.533, 5.533, 5.533 Å; angles 60.00, 60.00, 60.00 degrees
Element x y z (fractional)
K  0.750  0.750  0.750
La  0.000  0.000  0.000
Mo  0.375  0.375  0.375
Mo  0.375  0.375  0.875
Mo  0.875  0.375  0.375
Mo  0.375  0.875  0.375

## Properties
For the final energy, the calculation gives -7.946 eV per atom.



Density functional theory data (PBEsol) for an optimized crystal structure of TiVO4.

Cell lengths 2.876, 4.578, 4.578 Å; angles 90.54, 90.00, 90.00 degrees
Site moments in Bohr magnetons follow the coordinates.
Element x y z (fractional)
V  0.000  0.000  0.000  0.14
O  0.000  0.300  0.300  -0.02
O  0.000  0.700  0.700  -0.02
O  0.500  0.807  0.193  -0.04
O  0.500  0.193  0.807  -0.04
Ti  0.500  0.500  0.500  0.92

## Properties
The value obtained for the uncorrected formation energy is -2.68 eV/atom.



Density functional theory data (PBEsol) for an optimized crystal structure of Ca2AlCrO5.

Cell lengths 5.310, 5.615, 8.015 Å; angles 110.51, 109.35, 90.00 degrees
Site moments in Bohr magnetons follow the coordinates.
Element x y z (fractional)
Ca  0.112  0.139  0.215  0.01
Ca  0.397  0.424  0.785  0.01
Ca  0.897  0.861  0.785  0.01
Ca  0.612  0.576  0.215  0.01
Al  0.292  0.828  0.500  0.00
Al  0.792  0.172  0.500  0.00
Cr  0.993  0.500  0.000  2.69
Cr  0.493  0.000  0.000  2.69
O  0.624  0.895  0.500  0.00
O  0.124  0.105  0.500  0.00
O  0.618  0.214  0.286  0.00
O  0.332  0.786  0.714  0.00
O  0.118  0.572  0.286  0.00
O  0.832  0.428  0.714  0.00
O  0.231  0.237  0.964  0.04
O  0.266  0.763  0.036  0.04
O  0.766  0.773  0.036  0.04
O  0.731  0.227  0.964  0.04

## Properties
The value obtained for the uncorrected formation energy is -2.75 eV/atom.